A plane-wave DFT calculation with PBE-GGA was carried out for a relaxed structure of SrGdAsO.

Polymorph energy (0 for the lowest one), meV/atom: 0
M_tot, μB/f.u.: 0.0

Lattice parameters (Å, degrees): 4.295 7.020 6.747 90.00 90.00 90.00
Space group Pmc2_1 (No. 26)
Asymmetric unit:
Sr: 0.000 0.139 0.000 [2 per cell]
Gd: 0.500 0.476 0.696 [2 per cell]
As: 0.000 0.305 0.445 [2 per cell]
O: 0.500 0.288 0.964 [2 per cell]